[1]
A relaxed CrRePt crystal, computed with GGA-PBE.

abc: 13.055 2.747 2.747
angles: 59.94 90.00 90.00
Fractional coordinates of all 6 atoms:
Cr 0.161 0.000 0.000
Cr 0.839 0.000 0.000
Re 0.000 0.331 0.331
Re 0.500 0.000 0.000
Pt 0.325 0.333 0.333
Pt 0.675 0.333 0.333

Computed properties:
- crystal system = orthorhombic
- size of the total moment (Bohr magnetons per cell) = 0.0
- ΔE_f (eV per formula unit) = 0.19
- calculated density (Mg/m³) = 16.9
- density of states at the Fermi level (states/eV per cell) = 7.64

---

[2]
A relaxed KY2Os crystal, computed with GGA-PBE.

abc: 4.164 4.164 10.202
angles: 101.11 101.11 59.85
Fractional coordinates of all 4 atoms:
K 0.000 0.000 0.000
Y 0.210 0.210 0.638
Y 0.790 0.790 0.362
Os 0.500 0.500 0.500

Computed properties:
- crystal system = monoclinic
- size of the total moment (Bohr magnetons per cell) = 0.0
- ΔE_f (eV per formula unit) = 0.42
- calculated density (Mg/m³) = 4.5
- density of states at the Fermi level (states/eV per cell) = 2.84

---

[3]
A relaxed BaTl3Pb crystal, computed with GGA-PBE.

abc: 6.293 6.293 6.293
angles: 90.00 90.00 90.00
Fractional coordinates of all 5 atoms:
Ba 0.000 0.000 0.000
Tl 0.000 0.000 0.500
Tl 0.000 0.500 0.000
Tl 0.500 0.000 0.000
Pb 0.500 0.500 0.500

Computed properties:
- crystal system = cubic
- size of the total moment (Bohr magnetons per cell) = 0.0
- ΔE_f (eV per formula unit) = 3.15
- calculated density (Mg/m³) = 6.4
- density of states at the Fermi level (states/eV per cell) = 3.08

---

[4]
A relaxed Cu3PPd crystal, computed with GGA-PBE.

abc: 4.276 4.276 4.276
angles: 90.00 90.00 90.00
Fractional coordinates of all 5 atoms:
Cu 0.000 0.000 0.500
Cu 0.000 0.500 0.000
Cu 0.500 0.000 0.000
P 0.000 0.000 0.000
Pd 0.500 0.500 0.500

Computed properties:
- crystal system = cubic
- size of the total moment (Bohr magnetons per cell) = 0.0
- ΔE_f (eV per formula unit) = 0.88
- calculated density (Mg/m³) = 7.0
- density of states at the Fermi level (states/eV per cell) = 0.38